Record 1
## Li3Br4 (PBE)

Data for an optimized crystal structure of Li3Br4.

Cell lengths 6.624, 6.624, 5.092 Å; angles 90.00, 90.00, 120.00 degrees
Fractional positions:
1 Li 0.000 0.500 0.000
2 Li 0.500 0.000 0.000
3 Li 0.500 0.500 0.000
4 Br 0.000 0.000 0.252
5 Br 0.000 0.000 0.748
6 Br 0.333 0.667 0.500
7 Br 0.667 0.333 0.500

Computed properties:
The calculation puts the final energy at -17.56 eV per formula unit. Its energy above the most stable polymorph in this dataset is 434.1 meV/atom. The uncorrected formation energy comes out at -732 meV/atom. As for the crystal system: hexagonal.



Record 2
## Al2IrRu (PBE)

Data for an optimized crystal structure of Al2IrRu.

Cell lengths 4.235, 4.235, 3.032 Å; angles 90.00, 90.00, 90.00 degrees
Fractional positions:
1 Al 0.000 0.500 0.000
2 Al 0.500 0.000 0.000
3 Ir 0.000 0.000 0.500
4 Ru 0.500 0.500 0.500

Computed properties:
The calculation puts the final energy at -29.07 eV per formula unit. Its formation energy is -0.863 eV per atom. As for the crystal system: tetragonal.



Record 3
## Dy2ErPb2 (PBE)

Data for an optimized crystal structure of Dy2ErPb2.

Cell lengths 9.462, 9.462, 6.524 Å; angles 90.00, 90.00, 149.35 degrees
Fractional positions:
1 Dy 0.001 0.999 0.500
2 Dy 0.190 0.810 0.246
3 Dy 0.810 0.190 0.746
4 Dy 0.999 0.001 0.000
5 Er 0.394 0.606 0.251
6 Er 0.606 0.394 0.751
7 Pb 0.197 0.803 0.746
8 Pb 0.424 0.576 0.750
9 Pb 0.576 0.424 0.250
10 Pb 0.803 0.197 0.246

Computed properties:
The calculation puts the final energy at -23.36 eV per formula unit. Its formation energy is -0.436 eV per atom. As for the crystal system: orthorhombic.



Record 4
## Tl6In2Sb (PBE)

Data for an optimized crystal structure of Tl6In2Sb.

Cell lengths 5.552, 5.552, 10.370 Å; angles 91.98, 91.98, 58.26 degrees
Fractional positions:
1 Tl 0.002 0.002 0.166
2 Tl 0.333 0.333 0.612
3 Tl 0.334 0.334 0.270
4 Tl 0.666 0.666 0.730
5 Tl 0.667 0.667 0.388
6 Tl 0.998 0.998 0.834
7 In 0.333 0.333 0.945
8 In 0.667 0.667 0.055
9 Sb 0.000 0.000 0.500

Computed properties:
The calculation puts the final energy at -23.56 eV per formula unit. Its energy above the most stable polymorph in this dataset is 0.0 meV/atom. The uncorrected formation energy comes out at 27 meV/atom. As for the crystal system: monoclinic.



Record 5
## Ba3Sn2Pb2 (PBE)

Data for an optimized crystal structure of Ba3Sn2Pb2.

Cell lengths 6.980, 6.980, 9.088 Å; angles 112.36, 112.36, 44.92 degrees
Fractional positions:
1 Ba 0.000 0.000 0.000
2 Ba 0.174 0.174 0.636
3 Ba 0.826 0.826 0.364
4 Sn 0.465 0.465 0.643
5 Sn 0.535 0.535 0.357
6 Pb 0.326 0.326 0.050
7 Pb 0.674 0.674 0.950

Computed properties:
The calculation puts the final energy at -25.02 eV per formula unit. Its formation energy is -0.548 eV per atom. As for the crystal system: monoclinic.



Record 6
## CsBaHg17 (PBE)

Data for an optimized crystal structure of CsBaHg17.

Cell lengths 8.518, 8.518, 8.518 Å; angles 76.64, 76.64, 76.64 degrees
Fractional positions:
1 Cs 0.000 0.000 0.000
2 Ba 0.330 0.330 0.330
3 Hg 0.045 0.045 0.449
4 Hg 0.045 0.449 0.045
5 Hg 0.101 0.688 0.688
6 Hg 0.303 0.303 0.761
7 Hg 0.303 0.761 0.303
8 Hg 0.354 0.648 0.948
9 Hg 0.354 0.948 0.648
10 Hg 0.449 0.045 0.045
11 Hg 0.541 0.541 0.541
12 Hg 0.648 0.354 0.948
13 Hg 0.648 0.948 0.354
14 Hg 0.688 0.101 0.688
15 Hg 0.688 0.688 0.101
16 Hg 0.720 0.720 0.720
17 Hg 0.761 0.303 0.303
18 Hg 0.948 0.354 0.648
19 Hg 0.948 0.648 0.354

Computed properties:
The calculation puts the final energy at -10.90 eV per formula unit. Its formation energy is -0.157 eV per atom. As for the crystal system: trigonal.